(1)
A relaxed structure of K2MnSe, computed with PBE.

The structure belongs to space group I-4m2 (No. 119); the cell edges are 4.9108, 4.9108 and 10.3869 Å and the angles 90.00°, 90.00° and 90.00°. Symmetry generates all atoms from K at (0.0000, 0.0000, 0.0000), K at (0.0000, 0.5000, 0.2500), Mn at (0.0000, 0.5000, 0.7500) and Se at (0.0000, 0.0000, 0.5000).

The value obtained for the formation energy without anion corrections is 0.096 eV per atom.

---

(2)
A relaxed structure of KMnSe2, computed with PBE.

The structure belongs to space group Pna2_1 (No. 33); the cell edges are 6.5949, 10.9062 and 6.6916 Å and the angles 90.00°, 90.00° and 90.00°. Symmetry generates all atoms from K at (0.0245, 0.1223, 0.0000), Mn at (0.0448, 0.6244, 0.0493), Se at (0.0205, 0.4223, 0.8978) and Se at (0.1007, 0.1744, 0.4897).

The value obtained for the formation energy without anion corrections is -0.717 eV per atom.

---

(3)
A relaxed structure of KMn2Se, computed with PBE.

The structure belongs to space group I4/mmm (No. 139); the cell edges are 4.2514, 4.2514 and 10.1650 Å and the angles 90.00°, 90.00° and 90.00°. Symmetry generates all atoms from K at (0.0000, 0.0000, 0.0000), Mn at (0.0000, 0.5000, 0.2500) and Se at (0.0000, 0.0000, 0.5000).

The value obtained for the formation energy without anion corrections is 0.546 eV per atom.

---

Across the entries above, volume takes the values 31.31 30.08 22.97 A^3/atom, respectively.